Entry from Alexandria via LeMat-Bulk: crystalline K2MnF8 at its relaxed geometry (PBE+U).

Results
Spin magnetization ... 0.468 μB per atom
Uncorrected energy ... -0.15721 hartree per atom
Symmetry ... C2/m, No. 12

Cell lengths 6.319, 6.319, 5.956 Å; angles 109.27, 109.27, 65.29 degrees
Positions (direct):
K 0.216 0.216 0.221
K 0.784 0.784 0.779
Mn 0.500 0.500 0.000
F 0.024 0.024 0.666
F 0.209 0.591 0.078
F 0.370 0.370 0.686
F 0.409 0.791 0.922
F 0.591 0.209 0.078
F 0.630 0.630 0.314
F 0.791 0.409 0.922
F 0.976 0.976 0.334